## BiTeI2 (PBE-GGA)

Data for BiTeI2 after structural relaxation.

Computed properties:
- E_form (uncorrected): 0.33 eV/atom
- ΔE to the lowest computed polymorph: 0.4346 eV/atom
- Magnetic moment: 0.000 μB per atom
- Calculated total energy: -8.82 eV for the cell shown

Cell lengths 5.6715, 5.6715, 5.6715 Å; angles 60.00, 60.00, 60.00 degrees
With the nearest neighbours (Å) after each atom.
Atoms (fractional coordinates):
I  0.2500  0.2500  0.2500  4 Bi 3.47, 4 Te 3.47
Te  0.0000  0.0000  0.0000  8 I 3.47
Bi  0.5000  0.5000  0.5000  8 I 3.47
I  0.7500  0.7500  0.7500  4 Bi 3.47, 4 Te 3.47